Na2AsH | PBE | relaxed

The structure belongs to space group P2_1/m (No. 11); the cell edges are 4.907, 7.322 and 4.954 Å and the angles 90.00°, 96.08° and 90.00°. The distinct sites, in fractional coordinates, are Na at (0.249, 0.003, 0.252), As at (0.262, 0.250, 0.761) and H at (0.018, 0.250, 0.531).

=====

NaAsH4 | PBE | relaxed

The structure belongs to space group C2/c (No. 15); the cell edges are 5.123, 13.437 and 5.039 Å and the angles 90.00°, 112.76° and 90.00°. The distinct sites, in fractional coordinates, are Na at (0.000, 0.097, 0.250), As at (0.000, 0.479, 0.250), H at (0.008, 0.277, 0.035) and H at (0.028, 0.231, 0.559).

=====

Na3AsH4 | PBE | relaxed

The structure belongs to space group C2/m (No. 12); the cell edges are 17.065, 3.395 and 5.163 Å and the angles 90.00°, 90.13° and 90.00°. The distinct sites, in fractional coordinates, are Na at (0.000, 0.000, 0.000), Na at (0.140, 0.000, 0.501), As at (0.000, 0.500, 0.500), H at (0.195, 0.500, 0.927) and H at (0.196, 0.500, 0.077).

=====

NaAsH | PBE | relaxed

The structure belongs to space group Cmme (No. 67); the cell edges are 6.181, 8.391 and 3.928 Å and the angles 90.00°, 90.00° and 90.00°. The distinct sites, in fractional coordinates, are Na at (0.250, 0.000, 0.000), As at (0.000, 0.250, 0.474) and H at (0.000, 0.250, 0.871).

=====

NaAsH2 | PBE | relaxed

The structure belongs to space group Pnma (No. 62); the cell edges are 13.905, 3.651 and 5.923 Å and the angles 90.00°, 90.00° and 90.00°. The distinct sites, in fractional coordinates, are Na at (0.224, 0.250, 0.019), As at (0.042, 0.750, 0.397), H at (0.037, 0.250, 0.787) and H at (0.202, 0.750, 0.839).

=====

Na5AsH | PBE | relaxed

The structure belongs to space group C2/c (No. 15); the cell edges are 10.789, 6.471 and 10.509 Å and the angles 90.00°, 113.10° and 90.00°. The distinct sites, in fractional coordinates, are Na at (0.000, 0.017, 0.250), Na at (0.102, 0.316, 0.033), Na at (0.209, 0.165, 0.628), As at (0.000, 0.494, 0.750) and H at (0.000, 0.000, 0.000).

=====

no.,total magnetization (Bohr magnetons per cell),VASP energy (eV per atom)
1,0.0,-2.99
2,0.0,-3.27
3,0.0,-2.85
4,0.0,-3.21
5,0.0,-3.17
6,0.0,-2.26